(w)
! LaInAs2Se | Alexandria | PBE | relaxed; values from VASP
! **Total magnetic moment**: 0.0 μB per cell
! **N(E_F)**: 6.05 states/eV/cell
! **Symmetry**: P4/mmm
&SYSTEM
  ibrav = 0, nat = 5, ntyp = 4
/
ATOMIC_SPECIES
La 138.91 La.upf
In 114.82 In.upf
As 74.92 As.upf
Se 78.96 Se.upf
ATOMIC_POSITIONS crystal
La 0.000 0.000 0.000
In 0.500 0.500 0.500
As 0.000 0.500 0.500
As 0.500 0.000 0.500
Se 0.500 0.500 0.000
CELL_PARAMETERS angstrom
5.297 0.000 0.000
0.000 5.297 0.000
0.000 0.000 5.514

(x)
! LaInAs2Se | Alexandria | PBE | relaxed; values from VASP
! **Total magnetic moment**: 1.6 μB per cell
! **N(E_F)**: 5.68 states/eV/cell
! **Symmetry**: P4/mmm
&SYSTEM
  ibrav = 0, nat = 5, ntyp = 4
/
ATOMIC_SPECIES
La 138.91 La.upf
In 114.82 In.upf
As 74.92 As.upf
Se 78.96 Se.upf
ATOMIC_POSITIONS crystal
La 0.000 0.000 0.000
In 0.500 0.500 0.500
As 0.000 0.500 0.000
As 0.500 0.000 0.000
Se 0.000 0.000 0.500
CELL_PARAMETERS angstrom
5.910 0.000 0.000
0.000 5.910 0.000
0.000 0.000 5.800

What should be chosen as the most stable of them? Choose (w).

(w)
! LiIn3As | Alexandria | PBE | relaxed; values from VASP
! **Total magnetic moment**: 0.0 μB per cell
! **N(E_F)**: 2.44 states/eV/cell
! **Symmetry**: Pm-3m
&SYSTEM
  ibrav = 0, nat = 5, ntyp = 3
/
ATOMIC_SPECIES
Li 6.94 Li.upf
In 114.82 In.upf
As 74.92 As.upf
ATOMIC_POSITIONS crystal
Li 0.000 0.000 0.000
In 0.000 0.500 0.500
In 0.500 0.000 0.500
In 0.500 0.500 0.000
As 0.500 0.500 0.500
CELL_PARAMETERS angstrom
5.448 0.000 0.000
0.000 5.448 0.000
0.000 0.000 5.448

(x)
! LiIn3As | Alexandria | PBE | relaxed; values from VASP
! **Total magnetic moment**: 0.0 μB per cell
! **N(E_F)**: 4.35 states/eV/cell
! **Symmetry**: Pm-3m
&SYSTEM
  ibrav = 0, nat = 5, ntyp = 3
/
ATOMIC_SPECIES
Li 6.94 Li.upf
In 114.82 In.upf
As 74.92 As.upf
ATOMIC_POSITIONS crystal
Li 0.000 0.000 0.000
In 0.000 0.000 0.500
In 0.000 0.500 0.000
In 0.500 0.000 0.000
As 0.500 0.500 0.500
CELL_PARAMETERS angstrom
5.008 0.000 0.000
0.000 5.008 0.000
0.000 0.000 5.008

What should be chosen as the most stable of them? Choose (w).

(w)
! LiIn2As2 | Alexandria | PBE | relaxed; values from VASP
! **Total magnetic moment**: 0.0 μB per cell
! **N(E_F)**: 2.31 states/eV/cell
! **Symmetry**: I4/mmm
&SYSTEM
  ibrav = 0, nat = 5, ntyp = 3
/
ATOMIC_SPECIES
Li 6.94 Li.upf
In 114.82 In.upf
As 74.92 As.upf
ATOMIC_POSITIONS crystal
Li 0.000 0.000 0.000
In 0.355 0.355 0.000
In 0.645 0.645 0.000
As 0.250 0.750 0.500
As 0.750 0.250 0.500
CELL_PARAMETERS angstrom
-2.589 2.589 4.861
2.589 -2.589 4.861
2.589 2.589 -4.861

(x)
! LiIn2As2 | Alexandria | PBE | relaxed; values from VASP
! **Total magnetic moment**: 0.0 μB per cell
! **N(E_F)**: 2.66 states/eV/cell
! **Symmetry**: P4/mbm
&SYSTEM
  ibrav = 0, nat = 10, ntyp = 3
/
ATOMIC_SPECIES
Li 6.94 Li.upf
In 114.82 In.upf
As 74.92 As.upf
ATOMIC_POSITIONS crystal
Li 0.000 0.000 0.000
Li 0.500 0.500 0.000
In 0.146 0.354 0.500
In 0.354 0.854 0.500
In 0.646 0.146 0.500
In 0.854 0.646 0.500
As 0.161 0.661 0.000
As 0.339 0.161 0.000
As 0.661 0.839 0.000
As 0.839 0.339 0.000
CELL_PARAMETERS angstrom
7.672 0.000 0.000
0.000 7.672 0.000
0.000 0.000 3.848

(y)
! LiIn2As2 | Alexandria | PBE | relaxed; values from VASP
! **Total magnetic moment**: 0.0 μB per cell
! **N(E_F)**: 3.52 states/eV/cell
! **Symmetry**: P4/mbm
&SYSTEM
  ibrav = 0, nat = 10, ntyp = 3
/
ATOMIC_SPECIES
Li 6.94 Li.upf
In 114.82 In.upf
As 74.92 As.upf
ATOMIC_POSITIONS crystal
Li 0.000 0.000 0.000
Li 0.500 0.500 0.000
In 0.140 0.360 0.000
In 0.360 0.860 0.000
In 0.640 0.140 0.000
In 0.860 0.640 0.000
As 0.161 0.661 0.500
As 0.339 0.161 0.500
As 0.661 0.839 0.500
As 0.839 0.339 0.500
CELL_PARAMETERS angstrom
7.851 0.000 0.000
0.000 7.851 0.000
0.000 0.000 3.716

What should be chosen as the most stable of them? Choose (x).

(w)
! Li3InAs | Alexandria | PBE | relaxed; values from VASP
! **Total magnetic moment**: 0.0 μB per cell
! **N(E_F)**: 3.90 states/eV/cell
! **Symmetry**: Pm-3m
&SYSTEM
  ibrav = 0, nat = 5, ntyp = 3
/
ATOMIC_SPECIES
Li 6.94 Li.upf
In 114.82 In.upf
As 74.92 As.upf
ATOMIC_POSITIONS crystal
Li 0.000 0.000 0.500
Li 0.000 0.500 0.000
Li 0.500 0.000 0.000
In 0.000 0.000 0.000
As 0.500 0.500 0.500
CELL_PARAMETERS angstrom
4.933 0.000 0.000
0.000 4.933 0.000
0.000 0.000 4.933

(x)
! Li3InAs | Alexandria | PBE | relaxed; values from VASP
! **Total magnetic moment**: 0.0 μB per cell
! **N(E_F)**: 2.55 states/eV/cell
! **Symmetry**: Pm-3m
&SYSTEM
  ibrav = 0, nat = 5, ntyp = 3
/
ATOMIC_SPECIES
Li 6.94 Li.upf
In 114.82 In.upf
As 74.92 As.upf
ATOMIC_POSITIONS crystal
Li 0.000 0.000 0.500
Li 0.000 0.500 0.000
Li 0.500 0.000 0.000
In 0.500 0.500 0.500
As 0.000 0.000 0.000
CELL_PARAMETERS angstrom
4.832 0.000 0.000
0.000 4.832 0.000
0.000 0.000 4.832

What should be chosen as the most stable of them? Choose (x).

(w)
! MgInAs | Alexandria | PBE | relaxed; values from VASP
! **Total magnetic moment**: 0.0 μB per cell
! **N(E_F)**: 0.95 states/eV/cell
! **Symmetry**: P3m1
&SYSTEM
  ibrav = 0, nat = 3, ntyp = 3
/
ATOMIC_SPECIES
Mg 24.30 Mg.upf
In 114.82 In.upf
As 74.92 As.upf
ATOMIC_POSITIONS crystal
Mg 0.000 0.000 0.000
In 0.333 0.667 0.502
As 0.667 0.333 0.504
CELL_PARAMETERS angstrom
5.019 0.000 0.000
-2.509 4.347 0.000
0.000 0.000 3.059

(x)
! MgInAs | Alexandria | PBE | relaxed; values from VASP
! **Total magnetic moment**: 0.0 μB per cell
! **N(E_F)**: 1.25 states/eV/cell
! **Symmetry**: Imm2
&SYSTEM
  ibrav = 0, nat = 3, ntyp = 3
/
ATOMIC_SPECIES
Mg 24.30 Mg.upf
In 114.82 In.upf
As 74.92 As.upf
ATOMIC_POSITIONS crystal
Mg 0.000 0.000 0.000
In 0.701 0.701 0.000
As 0.381 0.381 0.000
CELL_PARAMETERS angstrom
-1.566 1.872 5.868
1.566 -1.872 5.868
1.566 1.872 -5.868

(y)
! MgInAs | Alexandria | PBE | relaxed; values from VASP
! **Total magnetic moment**: 0.0 μB per cell
! **N(E_F)**: 0.18 states/eV/cell
! **Symmetry**: F-43m
&SYSTEM
  ibrav = 0, nat = 3, ntyp = 3
/
ATOMIC_SPECIES
Mg 24.30 Mg.upf
In 114.82 In.upf
As 74.92 As.upf
ATOMIC_POSITIONS crystal
Mg 0.000 0.000 0.000
In 0.750 0.750 0.750
As 0.250 0.250 0.250
CELL_PARAMETERS angstrom
0.000 3.343 3.343
3.343 0.000 3.343
3.343 3.343 0.000

(z)
! MgInAs | Alexandria | PBE | relaxed; values from VASP
! **Total magnetic moment**: 0.0 μB per cell
! **N(E_F)**: 0.66 states/eV/cell
! **Symmetry**: R-3m
&SYSTEM
  ibrav = 0, nat = 6, ntyp = 3
/
ATOMIC_SPECIES
Mg 24.30 Mg.upf
In 114.82 In.upf
As 74.92 As.upf
ATOMIC_POSITIONS crystal
Mg 0.133 0.133 0.133
Mg 0.867 0.867 0.867
In 0.374 0.374 0.374
In 0.626 0.626 0.626
As 0.229 0.229 0.229
As 0.771 0.771 0.771
CELL_PARAMETERS angstrom
2.188 1.263 9.541
-2.188 1.263 9.541
0.000 -2.527 9.541

What should be chosen as the most stable of them? Choose (z).

(w)
! MgIn2As2 | Alexandria | PBE | relaxed; values from VASP
! **Total magnetic moment**: 0.0 μB per cell
! **N(E_F)**: 2.15 states/eV/cell
! **Symmetry**: I4/mmm
&SYSTEM
  ibrav = 0, nat = 5, ntyp = 3
/
ATOMIC_SPECIES
Mg 24.30 Mg.upf
In 114.82 In.upf
As 74.92 As.upf
ATOMIC_POSITIONS crystal
Mg 0.000 0.000 0.000
In 0.344 0.344 0.000
In 0.656 0.656 0.000
As 0.250 0.750 0.500
As 0.750 0.250 0.500
CELL_PARAMETERS angstrom
-2.674 2.674 4.461
2.674 -2.674 4.461
2.674 2.674 -4.461

(x)
! MgIn2As2 | Alexandria | PBE | relaxed; values from VASP
! **Total magnetic moment**: 0.0 μB per cell
! **N(E_F)**: 3.80 states/eV/cell
! **Symmetry**: P4/mbm
&SYSTEM
  ibrav = 0, nat = 10, ntyp = 3
/
ATOMIC_SPECIES
Mg 24.30 Mg.upf
In 114.82 In.upf
As 74.92 As.upf
ATOMIC_POSITIONS crystal
Mg 0.000 0.000 0.000
Mg 0.500 0.500 0.000
In 0.142 0.358 0.500
In 0.358 0.858 0.500
In 0.642 0.142 0.500
In 0.858 0.642 0.500
As 0.175 0.675 0.000
As 0.325 0.175 0.000
As 0.675 0.825 0.000
As 0.825 0.325 0.000
CELL_PARAMETERS angstrom
7.620 0.000 0.000
0.000 7.620 0.000
0.000 0.000 4.049

(y)
! MgIn2As2 | Alexandria | PBE | relaxed; values from VASP
! **Total magnetic moment**: 0.0 μB per cell
! **N(E_F)**: 2.38 states/eV/cell
! **Symmetry**: I4/mmm
&SYSTEM
  ibrav = 0, nat = 5, ntyp = 3
/
ATOMIC_SPECIES
Mg 24.30 Mg.upf
In 114.82 In.upf
As 74.92 As.upf
ATOMIC_POSITIONS crystal
Mg 0.000 0.000 0.000
In 0.250 0.750 0.500
In 0.750 0.250 0.500
As 0.414 0.414 0.000
As 0.586 0.586 0.000
CELL_PARAMETERS angstrom
-2.048 2.048 7.343
2.048 -2.048 7.343
2.048 2.048 -7.343

What should be chosen as the most stable of them? Choose (x).

(w)
! Mn2InAs | Alexandria | PBE | relaxed; values from VASP
! **Total magnetic moment**: 5.0 μB per cell
! **N(E_F)**: 2.99 states/eV/cell
! **Symmetry**: R3m
&SYSTEM
  ibrav = 0, nat = 4, ntyp = 3
/
ATOMIC_SPECIES
Mn 54.94 Mn.upf
In 114.82 In.upf
As 74.92 As.upf
ATOMIC_POSITIONS crystal
Mn 0.000 0.000 0.000
Mn 0.258 0.258 0.258
In 0.756 0.756 0.756
As 0.529 0.529 0.529
CELL_PARAMETERS angstrom
1.530 0.884 8.542
-1.530 0.884 8.542
0.000 -1.767 8.542

(x)
! Mn2InAs | Alexandria | PBE | relaxed; values from VASP
! **Total magnetic moment**: 6.8 μB per cell
! **N(E_F)**: 2.76 states/eV/cell
! **Symmetry**: Pmmm
&SYSTEM
  ibrav = 0, nat = 4, ntyp = 3
/
ATOMIC_SPECIES
Mn 54.94 Mn.upf
In 114.82 In.upf
As 74.92 As.upf
ATOMIC_POSITIONS crystal
Mn 0.000 0.000 0.000
Mn 0.000 0.500 0.500
In 0.500 0.000 0.500
As 0.500 0.500 0.000
CELL_PARAMETERS angstrom
3.842 0.000 0.000
0.000 4.014 0.000
0.000 0.000 4.373

(y)
! Mn2InAs | Alexandria | PBE | relaxed; values from VASP
! **Total magnetic moment**: 0.0 μB per cell
! **N(E_F)**: 8.01 states/eV/cell
! **Symmetry**: Fm-3m
&SYSTEM
  ibrav = 0, nat = 4, ntyp = 3
/
ATOMIC_SPECIES
Mn 54.94 Mn.upf
In 114.82 In.upf
As 74.92 As.upf
ATOMIC_POSITIONS crystal
Mn 0.250 0.250 0.250
Mn 0.750 0.750 0.750
In 0.000 0.000 0.000
As 0.500 0.500 0.500
CELL_PARAMETERS angstrom
0.000 3.051 3.051
3.051 0.000 3.051
3.051 3.051 0.000

(z)
! Mn2InAs | Alexandria | PBE | relaxed; values from VASP
! **Total magnetic moment**: 2.5 μB per cell
! **N(E_F)**: 3.19 states/eV/cell
! **Symmetry**: P4mm
&SYSTEM
  ibrav = 0, nat = 4, ntyp = 3
/
ATOMIC_SPECIES
Mn 54.94 Mn.upf
In 114.82 In.upf
As 74.92 As.upf
ATOMIC_POSITIONS crystal
Mn 0.000 0.000 0.000
Mn 0.500 0.500 0.185
In 0.500 0.500 0.746
As 0.000 0.000 0.367
CELL_PARAMETERS angstrom
2.964 0.000 0.000
0.000 2.964 0.000
0.000 0.000 7.632

What should be chosen as the most stable of them? Choose (z).

(w)
! Mn2InAs2 | Alexandria | PBE | relaxed; values from VASP
! **Total magnetic moment**: 0.0 μB per cell
! **N(E_F)**: 5.81 states/eV/cell
! **Symmetry**: I4/mmm
&SYSTEM
  ibrav = 0, nat = 5, ntyp = 3
/
ATOMIC_SPECIES
Mn 54.94 Mn.upf
In 114.82 In.upf
As 74.92 As.upf
ATOMIC_POSITIONS crystal
Mn 0.250 0.750 0.500
Mn 0.750 0.250 0.500
In 0.000 0.000 0.000
As 0.364 0.364 0.000
As 0.636 0.636 0.000
CELL_PARAMETERS angstrom
-2.112 2.112 4.562
2.112 -2.112 4.562
2.112 2.112 -4.562

(x)
! Mn2InAs2 | Alexandria | PBE | relaxed; values from VASP
! **Total magnetic moment**: 0.5 μB per cell
! **N(E_F)**: 3.36 states/eV/cell
! **Symmetry**: I4/mmm
&SYSTEM
  ibrav = 0, nat = 5, ntyp = 3
/
ATOMIC_SPECIES
Mn 54.94 Mn.upf
In 114.82 In.upf
As 74.92 As.upf
ATOMIC_POSITIONS crystal
Mn 0.115 0.115 0.000
Mn 0.885 0.885 0.000
In 0.500 0.500 0.000
As 0.250 0.750 0.500
As 0.750 0.250 0.500
CELL_PARAMETERS angstrom
-1.883 1.883 5.632
1.883 -1.883 5.632
1.883 1.883 -5.632

What should be chosen as the most stable of them? Choose (w).

(w)
! InMo3As | Alexandria | PBE | relaxed; values from VASP
! **Total magnetic moment**: 1.7 μB per cell
! **N(E_F)**: 8.63 states/eV/cell
! **Symmetry**: Pm-3m
&SYSTEM
  ibrav = 0, nat = 5, ntyp = 3
/
ATOMIC_SPECIES
In 114.82 In.upf
Mo 95.94 Mo.upf
As 74.92 As.upf
ATOMIC_POSITIONS crystal
In 0.000 0.000 0.000
Mo 0.000 0.000 0.500
Mo 0.000 0.500 0.000
Mo 0.500 0.000 0.000
As 0.500 0.500 0.500
CELL_PARAMETERS angstrom
4.905 0.000 0.000
0.000 4.905 0.000
0.000 0.000 4.905

(x)
! InMo3As | Alexandria | PBE | relaxed; values from VASP
! **Total magnetic moment**: 0.0 μB per cell
! **N(E_F)**: 6.61 states/eV/cell
! **Symmetry**: Pm-3m
&SYSTEM
  ibrav = 0, nat = 5, ntyp = 3
/
ATOMIC_SPECIES
In 114.82 In.upf
Mo 95.94 Mo.upf
As 74.92 As.upf
ATOMIC_POSITIONS crystal
In 0.000 0.000 0.000
Mo 0.000 0.500 0.500
Mo 0.500 0.000 0.500
Mo 0.500 0.500 0.000
As 0.500 0.500 0.500
CELL_PARAMETERS angstrom
4.639 0.000 0.000
0.000 4.639 0.000
0.000 0.000 4.639

What should be chosen as the most stable of them? Choose (x).

(w)
! In3MoAs | Alexandria | PBE | relaxed; values from VASP
! **Total magnetic moment**: 4.4 μB per cell
! **N(E_F)**: 2.98 states/eV/cell
! **Symmetry**: Pm-3m
&SYSTEM
  ibrav = 0, nat = 5, ntyp = 3
/
ATOMIC_SPECIES
In 114.82 In.upf
Mo 95.94 Mo.upf
As 74.92 As.upf
ATOMIC_POSITIONS crystal
In 0.000 0.000 0.500
In 0.000 0.500 0.000
In 0.500 0.000 0.000
Mo 0.500 0.500 0.500
As 0.000 0.000 0.000
CELL_PARAMETERS angstrom
5.336 0.000 0.000
0.000 5.336 0.000
0.000 0.000 5.336

(x)
! In3MoAs | Alexandria | PBE | relaxed; values from VASP
! **Total magnetic moment**: 3.1 μB per cell
! **N(E_F)**: 3.48 states/eV/cell
! **Symmetry**: Pm-3m
&SYSTEM
  ibrav = 0, nat = 5, ntyp = 3
/
ATOMIC_SPECIES
In 114.82 In.upf
Mo 95.94 Mo.upf
As 74.92 As.upf
ATOMIC_POSITIONS crystal
In 0.000 0.000 0.500
In 0.000 0.500 0.000
In 0.500 0.000 0.000
Mo 0.000 0.000 0.000
As 0.500 0.500 0.500
CELL_PARAMETERS angstrom
5.323 0.000 0.000
0.000 5.323 0.000
0.000 0.000 5.323

What should be chosen as the most stable of them? Choose (x).

(w)
! InMoAs | Alexandria | PBE | relaxed; values from VASP
! **Total magnetic moment**: 0.0 μB per cell
! **N(E_F)**: 1.71 states/eV/cell
! **Symmetry**: Fmm2
&SYSTEM
  ibrav = 0, nat = 3, ntyp = 3
/
ATOMIC_SPECIES
In 114.82 In.upf
Mo 95.94 Mo.upf
As 74.92 As.upf
ATOMIC_POSITIONS crystal
In 0.000 0.000 0.000
Mo 0.664 0.664 0.336
As 0.288 0.288 0.712
CELL_PARAMETERS angstrom
0.000 2.377 6.910
1.851 0.000 6.910
1.851 2.377 0.000

(x)
! InMoAs | Alexandria | PBE | relaxed; values from VASP
! **Total magnetic moment**: 0.0 μB per cell
! **N(E_F)**: 1.60 states/eV/cell
! **Symmetry**: I4mm
&SYSTEM
  ibrav = 0, nat = 3, ntyp = 3
/
ATOMIC_SPECIES
In 114.82 In.upf
Mo 95.94 Mo.upf
As 74.92 As.upf
ATOMIC_POSITIONS crystal
In 0.000 0.000 0.000
Mo 0.309 0.309 0.000
As 0.697 0.697 0.000
CELL_PARAMETERS angstrom
-1.676 1.676 4.852
1.676 -1.676 4.852
1.676 1.676 -4.852

What should be chosen as the most stable of them? Choose (x).